# CaLa3Y4

Crystalline CaLa3Y4 at its relaxed geometry (GGA-PBE, Alexandria via LeMat-Bulk). Values from VASP.

Results
As for the symmetry: No. 12. For the formation energy, the calculation gives 0.19 eV per atom. The density of states at the Fermi level comes out at 14.88 states/eV/f.u.

```
&SYSTEM
  ibrav = 0, nat = 8, ntyp = 3
/
ATOMIC_SPECIES
Ca 40.08 Ca.upf
La 138.91 La.upf
Y 88.91 Y.upf
CELL_PARAMETERS angstrom
12.218 -1.741 0.000
12.218 1.741 0.000
-1.993 0.000 6.710
ATOMIC_POSITIONS crystal
Ca 0.000 0.000 0.000
La 0.258 0.258 0.260
La 0.500 0.500 0.500
La 0.742 0.742 0.740
Y 0.126 0.126 0.385
Y 0.126 0.126 0.866
Y 0.874 0.874 0.134
Y 0.874 0.874 0.615
```


# ZnInSi2Te

Crystalline ZnInSi2Te at its relaxed geometry (GGA-PBE, Alexandria via LeMat-Bulk). Values from VASP.

Results
As for the uncorrected formation energy: 1.153 eV/atom. As for the symmetry: No. 123. The density of states at the Fermi level comes out at 5.83 states/eV/f.u.

```
&SYSTEM
  ibrav = 0, nat = 5, ntyp = 4
/
ATOMIC_SPECIES
Zn 65.41 Zn.upf
In 114.82 In.upf
Si 28.09 Si.upf
Te 127.60 Te.upf
CELL_PARAMETERS angstrom
5.426 0.000 0.000
0.000 5.426 0.000
0.000 0.000 6.463
ATOMIC_POSITIONS crystal
Zn 0.000 0.000 0.000
In 0.500 0.500 0.000
Si 0.000 0.500 0.500
Si 0.500 0.000 0.500
Te 0.500 0.500 0.500
```


# TeIrF

Crystalline TeIrF at its relaxed geometry (GGA-PBE, Alexandria via LeMat-Bulk). Values from VASP.

Results
As for the uncorrected formation energy: -0.583 eV/atom. As for the symmetry: No. 8. The density of states at the Fermi level comes out at 0.60 states/eV/f.u.

```
&SYSTEM
  ibrav = 0, nat = 3, ntyp = 3
/
ATOMIC_SPECIES
Te 127.60 Te.upf
Ir 192.22 Ir.upf
F 19.00 F.upf
CELL_PARAMETERS angstrom
3.128 -1.801 0.000
3.128 1.801 0.000
-2.109 0.000 5.641
ATOMIC_POSITIONS crystal
Te 0.000 0.000 0.000
Ir 0.421 0.421 0.262
F 0.540 0.540 0.622
```


The calculation returns the following raw total energy values, one per record and in order: -5.14 -2.45 -5.21 eV per atom.